DFT (PBE with a Hubbard U) results for a relaxed Na3CoO2 crystal.

The space group is Cmcm (No. 63) and the conventional cell measures 7.9771, 7.1146 and 6.5520 Å, with angles of 90.00, 90.00 and 90.00 degrees. Symmetry generates all atoms from Na at (0.0000, 0.2275, 0.2500), Na at (0.2041, 0.5000, 0.0000), Co at (0.0000, 0.1774, 0.7500), O at (0.0000, 0.0000, 0.0000) and O at (0.0000, 0.4415, 0.7500).

The crystal system is orthorhombic. The theoretical density is 2.856 g/cm3. Its size of the total moment is 0.353 μB per atom.

=====

DFT (PBE with a Hubbard U) results for a relaxed NaCoO2 crystal.

The space group is P6_3/mmc (No. 194) and the conventional cell measures 2.9137, 2.9137 and 10.5598 Å, with angles of 90.00, 90.00 and 120.00 degrees. Symmetry generates all atoms from Na at (0.3333, 0.6667, 0.2500), Co at (0.0000, 0.0000, 0.0000) and O at (0.3333, 0.6667, 0.5946).

The crystal system is hexagonal. The theoretical density is 4.873 g/cm3. Its size of the total moment is 0.000 μB per atom.

=====

DFT (PBE with a Hubbard U) results for a relaxed NaCo2O5 crystal.

The space group is I4/mcm (No. 140) and the conventional cell measures 5.5834, 5.5834 and 10.7762 Å, with angles of 90.00, 90.00 and 90.00 degrees. Symmetry generates all atoms from Na at (0.0000, 0.0000, 0.2500), Co at (0.1673, 0.3327, 0.0000), O at (0.0000, 0.0000, 0.0000) and O at (0.1454, 0.3546, 0.3901).

The crystal system is tetragonal. The theoretical density is 4.367 g/cm3. Its size of the total moment is 0.623 μB per atom.

=====

DFT (PBE with a Hubbard U) results for a relaxed Na3Co5O10 crystal.

The space group is Cm (No. 8) and the conventional cell measures 4.9132, 14.2986 and 5.7634 Å, with angles of 90.00, 106.84 and 90.00 degrees. Symmetry generates all atoms from Na at (0.0000, 0.0000, 0.0000), Na at (0.4794, 0.3007, 0.9993), Co at (0.1440, 0.3997, 0.4976), Co at (0.1481, 0.0000, 0.5106), Co at (0.1480, 0.1999, 0.5083), O at (0.0322, 0.1005, 0.6845), O at (0.0456, 0.3013, 0.6846), O at (0.0466, 0.5000, 0.6765), O at (0.2504, 0.0998, 0.3268), O at (0.2525, 0.2992, 0.3251) and O at (0.2552, 0.5000, 0.3277).

The crystal system is monoclinic. The theoretical density is 4.487 g/cm3. Its size of the total moment is 0.105 μB per atom.

=====

DFT (PBE with a Hubbard U) results for a relaxed NaCoOsO4 crystal.

The space group is Imma (No. 74) and the conventional cell measures 6.0910, 6.3434 and 9.1231 Å, with angles of 90.00, 90.00 and 90.00 degrees. Symmetry generates all atoms from Na at (0.0000, 0.2500, 0.1196), Co at (0.0000, 0.0000, 0.5000), Os at (0.2500, 0.2500, 0.7500), O at (0.0000, 0.0368, 0.7396) and O at (0.2231, 0.2500, 0.5371).

The crystal system is orthorhombic. The theoretical density is 6.334 g/cm3. Its size of the total moment is 0.752 μB per atom.

=====

DFT (PBE with a Hubbard U) results for a relaxed NaCo2OsO8 crystal.

The space group is P2/m (No. 10) and the conventional cell measures 4.5127, 5.9879 and 4.5937 Å, with angles of 90.00, 91.47 and 90.00 degrees. Symmetry generates all atoms from Na at (0.0000, 0.0000, 0.0000), Co at (0.5000, 0.2446, 0.5000), Os at (0.0000, 0.5000, 0.0000), O at (0.2154, 0.2820, 0.1998), O at (0.2944, 0.5000, 0.6913) and O at (0.3205, 0.0000, 0.6607).

The crystal system is monoclinic. The theoretical density is 6.143 g/cm3. Its size of the total moment is 0.119 μB per atom.

=====

DFT (PBE with a Hubbard U) results for a relaxed NaCoOs2O8 crystal.

The space group is I-4m2 (No. 119) and the conventional cell measures 6.9821, 6.9821 and 6.9194 Å, with angles of 90.00, 90.00 and 90.00 degrees. Symmetry generates all atoms from Na at (0.0000, 0.0000, 0.0000), Co at (0.0000, 0.5000, 0.7500), Os at (0.0000, 0.0000, 0.5000), Os at (0.0000, 0.5000, 0.2500), O at (0.0000, 0.2094, 0.6543) and O at (0.0000, 0.3028, 0.0916).

The crystal system is tetragonal. The theoretical density is 5.812 g/cm3. Its size of the total moment is 0.333 μB per atom.

=====

DFT (PBE with a Hubbard U) results for a relaxed Na3Co2OsO6 crystal.

The space group is C2/m (No. 12) and the conventional cell measures 5.3689, 9.3503 and 5.6703 Å, with angles of 90.00, 108.26 and 90.00 degrees. Symmetry generates all atoms from Na at (0.0000, 0.0000, 0.0000), Na at (0.0000, 0.3279, 0.0000), Co at (0.0000, 0.1668, 0.5000), Os at (0.0000, 0.5000, 0.5000), O at (0.2268, 0.3439, 0.7046) and O at (0.2423, 0.5000, 0.2930).

The crystal system is monoclinic. The theoretical density is 5.812 g/cm3. Its size of the total moment is 0.750 μB per atom.

=====

DFT (PBE with a Hubbard U) results for a relaxed NaCoP2O crystal.

The space group is P4/mmm (No. 123) and the conventional cell measures 4.8887, 4.8887 and 3.9108 Å, with angles of 90.00, 90.00 and 90.00 degrees. Symmetry generates all atoms from Na at (0.0000, 0.0000, 0.0000), Co at (0.5000, 0.5000, 0.5000), P at (0.0000, 0.5000, 0.0000) and O at (0.0000, 0.0000, 0.5000).

The crystal system is tetragonal. The theoretical density is 2.840 g/cm3. Its size of the total moment is 0.698 μB per atom.

=====

DFT (PBE with a Hubbard U) results for a relaxed Na2CoP2O7 crystal.

The space group is P-1 (No. 2) and the conventional cell measures 6.6193, 7.1286 and 9.6528 Å, with angles of 92.47, 105.95 and 115.22 degrees. Symmetry generates all atoms from Na at (0.0229, 0.4900, 0.3333), Na at (0.2284, 0.8832, 0.9434), Co at (0.4104, 0.4104, 0.8407), P at (0.0074, 0.0009, 0.3857), P at (0.4602, 0.2653, 0.3353), O at (0.0744, 0.2226, 0.6917), O at (0.1062, 0.8764, 0.6968), O at (0.2934, 0.1287, 0.4305), O at (0.2926, 0.6190, 0.5592), O at (0.2972, 0.5876, 0.9170), O at (0.3508, 0.3989, 0.2522) and O at (0.5004, 0.2370, 0.9626).

The crystal system is triclinic. The theoretical density is 2.378 g/cm3. Its size of the total moment is 0.333 μB per atom.

=====

DFT (PBE with a Hubbard U) results for a relaxed Na2CoPO4 crystal.

The space group is Pmn2_1 (No. 31) and the conventional cell measures 6.6595, 5.8048 and 5.4714 Å, with angles of 90.00, 90.00 and 90.00 degrees. Symmetry generates all atoms from Na at (0.2457, 0.1849, 0.0000), Co at (0.0000, 0.6669, 0.0009), P at (0.0000, 0.3391, 0.5019), O at (0.0000, 0.3649, 0.7847), O at (0.0000, 0.5824, 0.3807) and O at (0.1923, 0.2015, 0.4229).

The crystal system is orthorhombic. The theoretical density is 3.139 g/cm3. Its size of the total moment is 0.251 μB per atom.

=====

DFT (PBE with a Hubbard U) results for a relaxed Na2CoP2O7 crystal.

The space group is P-42_1m (No. 113) and the conventional cell measures 7.8703, 7.8703 and 5.1523 Å, with angles of 90.00, 90.00 and 90.00 degrees. Symmetry generates all atoms from Na at (0.1698, 0.3302, 0.4956), Co at (0.0000, 0.0000, 0.0000), P at (0.1384, 0.6384, 0.9276), O at (0.0000, 0.5000, 0.8165), O at (0.0796, 0.8041, 0.7924) and O at (0.1400, 0.6400, 0.2200).

The crystal system is tetragonal. The theoretical density is 2.902 g/cm3. Its size of the total moment is 0.250 μB per atom.

=====

DFT (PBE with a Hubbard U) results for a relaxed NaCoP2O crystal.

The space group is P4/mmm (No. 123) and the conventional cell measures 4.2690, 4.2690 and 4.3217 Å, with angles of 90.00, 90.00 and 90.00 degrees. Symmetry generates all atoms from Na at (0.0000, 0.0000, 0.0000), Co at (0.5000, 0.5000, 0.5000), P at (0.0000, 0.5000, 0.5000) and O at (0.5000, 0.5000, 0.0000).

The crystal system is tetragonal. The theoretical density is 3.371 g/cm3. Its size of the total moment is 0.114 μB per atom.

=====

DFT (PBE with a Hubbard U) results for a relaxed Na2CoP2O7 crystal.

The space group is P4_2/mnm (No. 136) and the conventional cell measures 7.8395, 7.8395 and 10.4229 Å, with angles of 90.00, 90.00 and 90.00 degrees. Symmetry generates all atoms from Na at (0.1462, 0.1462, 0.0000), Na at (0.1941, 0.1941, 0.5000), Co at (0.0000, 0.5000, 0.2500), P at (0.1381, 0.8619, 0.2897), O at (0.0000, 0.0000, 0.3460), O at (0.0802, 0.6942, 0.3539) and O at (0.1370, 0.8630, 0.1444).

The crystal system is tetragonal. The theoretical density is 2.892 g/cm3. Its size of the total moment is 0.250 μB per atom.

=====

DFT (PBE with a Hubbard U) results for a relaxed Na2CoP2O7 crystal.

The space group is Imma (No. 74) and the conventional cell measures 8.0455, 13.8893 and 6.8173 Å, with angles of 90.00, 90.00 and 90.00 degrees. Symmetry generates all atoms from Na at (0.2500, 0.0066, 0.2500), Co at (0.2500, 0.2500, 0.2500), P at (0.0000, 0.1468, 0.5484), O at (0.0000, 0.0701, 0.7052), O at (0.0000, 0.2500, 0.6611) and O at (0.1590, 0.1448, 0.4193).

The crystal system is orthorhombic. The theoretical density is 2.431 g/cm3. Its size of the total moment is 0.249 μB per atom.

=====

DFT (PBE with a Hubbard U) results for a relaxed NaCoP2O6 crystal.

The space group is C2/c (No. 15) and the conventional cell measures 10.3369, 10.0726 and 4.9491 Å, with angles of 90.00, 104.97 and 90.00 degrees. Symmetry generates all atoms from Na at (0.0000, 0.1069, 0.2500), Co at (0.0000, 0.2528, 0.7500), P at (0.2104, 0.4142, 0.2219), O at (0.1314, 0.2897, 0.1326), O at (0.1389, 0.0895, 0.6980) and O at (0.1576, 0.4738, 0.4795).

The crystal system is monoclinic. The theoretical density is 3.201 g/cm3. Its size of the total moment is 0.200 μB per atom.

=====

no.,DFT total energy (eV/atom)
1,-4.10
2,-5.34
3,-4.95
4,-5.54
5,-6.45
6,-5.99
7,-6.61
8,-5.86
9,-3.09
10,-5.92
11,-5.87
12,-6.51
13,-4.16
14,-6.51
15,-6.47
16,-6.52